Here is a geometry-optimized LaPrP structure from Alexandria. Energies are from PBE.

Computed properties:
As for the formation energy: -0.940 eV/atom. Its crystal system is trigonal. Its density of states at the Fermi level is 1.061 states/eV/atom.

Cell: 4.0899 4.0899 6.9203 Å, 90.00 90.00 120.00°
With the nearest neighbours (Å) after each atom.
Atoms (fractional coordinates):
La 0.0000 0.0000 0.0000  3 P 2.89
Pr 0.3333 0.6667 0.4786  3 P 2.88
P 0.6667 0.3333 0.2412  3 Pr 2.88, 3 La 2.89